VASP calculation (PBE-GGA) on SbTe2F after structural relaxation.

Calculated values
* calculated density: 6.961 g/cm3
* ΔE_f (raw): -1.2 eV/f.u.
* final energy: -3.3790 eV/atom
* relative energy among the computed polymorphs: 187 meV per atom

a b c (Å): 7.229 7.229 7.229
angles (deg): 90.00 90.00 90.00
Space group Fm-3m (No. 225)
Symmetry-distinct sites (fractional):
Sb (0.000, 0.000, 0.000) (multiplicity 4)
Te (0.250, 0.250, 0.250) (multiplicity 8)
F (0.000, 0.000, 0.500) (multiplicity 4)